Entry 1:
Material: LaTbBr3N
Method: DFT, GGA-PBE
State: relaxed

Computed properties:
Final energy   -5.72 eV/atom

Lattice parameters (Å, degrees): 9.127 9.127 11.554 120.85 120.85 25.53
Element x y z (fractional)
1 Br 0.662 0.662 0.012
2 Br 0.050 0.050 0.256
3 Br 0.784 0.784 0.391
4 Br 0.216 0.216 0.609
5 Br 0.950 0.950 0.744
6 Br 0.338 0.338 0.988
7 La 0.866 0.866 0.215
8 La 0.134 0.134 0.785
9 N 0.429 0.429 0.352
10 N 0.571 0.571 0.648
11 Tb 0.578 0.578 0.458
12 Tb 0.422 0.422 0.542



Entry 2:
Material: LaNd3Br2O2
Method: DFT, GGA-PBE
State: relaxed

Computed properties:
Final energy   -5.98 eV/atom

Lattice parameters (Å, degrees): 3.703 3.703 14.661 90.00 90.00 120.00
Element x y z (fractional)
1 Br 0.667 0.333 0.255
2 Br 0.000 0.000 0.749
3 La 0.000 0.000 0.092
4 Nd 0.000 0.000 0.411
5 Nd 0.667 0.333 0.591
6 Nd 0.667 0.333 0.905
7 O 0.333 0.667 0.501
8 O 0.333 0.667 0.997



Entry 3:
Material: LaNd3P2Br2
Method: DFT, GGA-PBE
State: relaxed

Computed properties:
Final energy   -5.71 eV/atom

Lattice parameters (Å, degrees): 4.140 4.140 14.882 90.00 90.00 120.00
Element x y z (fractional)
1 Br 0.667 0.333 0.255
2 Br 0.000 0.000 0.748
3 La 0.000 0.000 0.103
4 Nd 0.000 0.000 0.400
5 Nd 0.667 0.333 0.601
6 Nd 0.667 0.333 0.895
7 P 0.333 0.667 0.501
8 P 0.333 0.667 0.996



Entry 4:
Material: LaNpBr6
Method: DFT, GGA-PBE
State: relaxed

Computed properties:
Final energy   -5.13 eV/atom

Lattice parameters (Å, degrees): 7.987 7.987 4.491 90.00 90.00 120.00
Each line ends with the local moment (μB).
Element x y z (fractional)
1 Br 0.057 0.424 0.000  -0.02
2 Br 0.576 0.633 0.000  -0.02
3 Br 0.367 0.943 0.000  -0.02
4 Br 0.749 0.031 0.500  -0.01
5 Br 0.282 0.251 0.500  -0.01
6 Br 0.969 0.718 0.500  -0.01
7 La 0.000 0.000 0.000  0.01
8 Np 0.333 0.667 0.500  3.98



Entry 5:
Material: LaPmBr2O2
Method: DFT, GGA-PBE
State: relaxed

Computed properties:
Final energy   -6.76 eV/atom

Lattice parameters (Å, degrees): 4.015 4.015 8.449 90.00 90.00 90.00
Element x y z (fractional)
1 Br 0.000 0.000 0.337
2 Br 0.500 0.500 0.667
3 La 0.500 0.500 0.145
4 O 0.500 0.000 0.997
5 O 0.000 0.500 0.997
6 Pm 0.000 0.000 0.858



Entry 6:
Material: LaPrBrO
Method: DFT, GGA-PBE
State: relaxed

Computed properties:
Final energy   -6.04 eV/atom

Lattice parameters (Å, degrees): 3.731 3.731 14.756 90.00 90.00 120.00
Element x y z (fractional)
1 Br 0.667 0.333 0.247
2 Br 0.333 0.667 0.753
3 La 0.333 0.667 0.406
4 La 0.667 0.333 0.594
5 O 0.000 0.000 0.000
6 O 0.000 0.000 0.500
7 Pr 0.333 0.667 0.091
8 Pr 0.667 0.333 0.909



Entry 7:
Material: LaPrBrO
Method: DFT, GGA-PBE
State: relaxed

Computed properties:
Final energy   -6.05 eV/atom

Lattice parameters (Å, degrees): 3.723 3.723 14.836 90.00 90.00 120.00
Each line ends with the local moment (μB).
Element x y z (fractional)
1 Br 0.000 0.000 0.000  0.00
2 Br 0.333 0.667 0.500  0.00
3 La 0.333 0.667 0.158  0.16
4 La 0.333 0.667 0.842  0.16
5 O 0.667 0.333 0.250  0.04
6 O 0.667 0.333 0.750  0.03
7 Pr 0.000 0.000 0.344  0.09
8 Pr 0.000 0.000 0.656  0.09



Entry 8:
Material: LaPr3Br2O2
Method: DFT, GGA-PBE
State: relaxed

Computed properties:
Final energy   -5.99 eV/atom

Lattice parameters (Å, degrees): 3.723 3.723 14.742 90.00 90.00 120.00
Element x y z (fractional)
1 Br 0.667 0.333 0.252
2 Br 0.000 0.000 0.749
3 La 0.000 0.000 0.092
4 O 0.333 0.667 0.500
5 O 0.333 0.667 0.000
6 Pr 0.000 0.000 0.409
7 Pr 0.667 0.333 0.592
8 Pr 0.667 0.333 0.905



Entry 9:
Material: LaPrBr2O2
Method: DFT, GGA-PBE
State: relaxed

Computed properties:
Final energy   -6.74 eV/atom

Lattice parameters (Å, degrees): 4.061 4.061 7.934 90.00 90.00 90.00
Element x y z (fractional)
1 Br 0.000 0.000 0.352
2 Br 0.500 0.500 0.651
3 La 0.500 0.500 0.153
4 O 0.500 0.000 0.999
5 O 0.000 0.500 0.999
6 Pr 0.000 0.000 0.846



Entry 10:
Material: La4OsBr5
Method: DFT, GGA-PBE
State: relaxed

Computed properties:
Final energy   -5.40 eV/atom

Lattice parameters (Å, degrees): 9.668 9.668 9.004 105.43 105.43 25.70
Each line ends with the local moment (μB).
Element x y z (fractional)
1 Br 0.828 0.828 0.154  0.00
2 Br 0.171 0.171 0.341  0.00
3 Br 0.500 0.500 0.500  0.00
4 Br 0.829 0.829 0.659  0.00
5 Br 0.172 0.172 0.846  0.00
6 La 0.647 0.647 0.086  0.06
7 La 0.002 0.002 0.226  0.04
8 La 0.998 0.998 0.774  0.04
9 La 0.353 0.353 0.914  0.06
10 Os 0.500 0.500 0.000  0.00



Entry 11:
Material: SrLa6OsBr12
Method: DFT, GGA-PBE
State: relaxed

Computed properties:
Final energy   -4.88 eV/atom

Lattice parameters (Å, degrees): 9.641 9.641 9.641 106.29 106.29 106.29
Each line ends with the local moment (μB).
Element x y z (fractional)
1 Br 0.679 0.219 0.072  0.01
2 Br 0.370 0.456 0.156  0.00
3 Br 0.072 0.679 0.219  0.01
4 Br 0.781 0.928 0.321  0.01
5 Br 0.456 0.156 0.370  0.00
6 Br 0.156 0.370 0.456  0.00
7 Br 0.844 0.630 0.544  0.00
8 Br 0.544 0.844 0.630  0.00
9 Br 0.219 0.072 0.679  0.01
10 Br 0.928 0.321 0.781  0.01
11 Br 0.630 0.544 0.844  0.00
12 Br 0.321 0.781 0.928  0.01
13 La 0.314 0.107 0.020  0.13
14 La 0.020 0.314 0.107  0.14
15 La 0.107 0.020 0.314  0.13
16 La 0.893 0.980 0.686  0.13
17 La 0.980 0.686 0.893  0.14
18 La 0.686 0.893 0.980  0.13
19 Os 0.000 0.000 0.000  0.01
20 Sr 0.500 0.500 0.500  0.00



Entry 12:
Material: LaPrPBr
Method: DFT, GGA-PBE
State: relaxed

Computed properties:
E above lowest polymorph   0.001 eV per atom

Lattice parameters (Å, degrees): 4.174 4.174 15.048 90.00 90.00 120.00
Element x y z (fractional)
1 Br 0.333 0.667 0.254
2 Br 0.667 0.333 0.746
3 La 0.667 0.333 0.104
4 La 0.333 0.667 0.896
5 P 0.000 0.000 0.000
6 P 0.000 0.000 0.500
7 Pr 0.667 0.333 0.399
8 Pr 0.333 0.667 0.601